Record 1
VASP calculation (GGA-PBE) on La4YFe after structural relaxation.

Cell and atoms, written as POSCAR:
```
La4YFe
1.0
5.419 3.036 2.000
0.406 2.266 6.106
3.965 -2.896 4.299
Y La Fe
1 4 1
direct
0.750 0.750 0.750
0.374 0.374 0.879
0.879 0.374 0.374
0.374 0.374 0.374
0.374 0.879 0.374
0.000 0.000 0.000
```

## Properties
VASP energy: -5.12 eV per atom
Magnetization: 2.5 μB per cell
Formation enthalpy at 0 K: 0.6492 eV/atom

Record 2
VASP calculation (GGA-PBE) on La3YFe after structural relaxation.

Cell and atoms, written as POSCAR:
```
La3YFe
1.0
-1.212 -0.503 -5.274
1.244 -5.286 0.218
-5.150 -1.158 1.294
La Fe Y
3 1 1
direct
0.000 0.500 0.000
0.000 0.000 0.500
0.500 0.000 0.000
0.000 0.000 0.000
0.500 0.500 0.500
```

## Properties
VASP energy: -5.82 eV per atom
Magnetization: 0.0 μB per cell
Formation enthalpy at 0 K: 0.1214 eV/atom

Record 3
VASP calculation (GGA-PBE) on LaYFe2 after structural relaxation.

Cell and atoms, written as POSCAR:
```
LaYFe2
1.0
-4.376 0.508 -2.213
-1.575 -4.130 2.182
-1.139 1.865 2.694
La Y Fe
1 1 2
direct
0.500 0.000 0.500
0.000 0.500 0.500
0.000 0.000 0.000
0.500 0.500 0.000
```

## Properties
VASP energy: -6.81 eV per atom
Magnetization: 3.1 μB per cell
Formation enthalpy at 0 K: 0.2670 eV/atom

Record 4
VASP calculation (GGA-PBE) on La2YFe after structural relaxation.

Cell and atoms, written as POSCAR:
```
La2YFe
1.0
-0.477 0.807 3.488
-2.588 -2.508 0.238
6.097 -6.079 2.240
Fe La Y
1 2 1
direct
0.500 0.500 0.750
0.000 0.000 0.558
0.000 0.000 0.942
0.500 0.500 0.250
```

## Properties
VASP energy: -6.02 eV per atom
Magnetization: 2.6 μB per cell
Energy above the most stable polymorph in this dataset: 0.1017 eV per atom
Formation enthalpy at 0 K: 0.1769 eV/atom

Record 5
VASP calculation (GGA-PBE) on LaYFe after structural relaxation.

Cell and atoms, written as POSCAR:
```
LaYFe
1.0
3.920 0.000 0.000
-1.960 3.395 0.000
0.000 0.000 6.277
Y Fe La
1 1 1
direct
0.667 0.333 0.763
0.000 0.000 0.006
0.333 0.667 0.231
```

## Properties
VASP energy: -6.40 eV per atom
Magnetization: 0.0 μB per cell
Energy above the most stable polymorph in this dataset: 0.1491 eV per atom
Formation enthalpy at 0 K: 0.2175 eV/atom

Record 6
VASP calculation (GGA-PBE) on LaYFe after structural relaxation.

Cell and atoms, written as POSCAR:
```
LaYFe
1.0
-4.361 -1.316 0.438
3.277 -3.124 -0.666
0.512 -0.335 4.094
La Y Fe
1 1 1
direct
0.667 0.333 0.244
0.333 0.667 0.729
0.000 0.000 0.027
```

## Properties
VASP energy: -6.30 eV per atom
Magnetization: 0.7 μB per cell
Energy above the most stable polymorph in this dataset: 0.2516 eV per atom
Formation enthalpy at 0 K: 0.3201 eV/atom

Record 7
VASP calculation (GGA-PBE) on LaYFe2 after structural relaxation.

Cell and atoms, written as POSCAR:
```
LaYFe2
1.0
-4.846 2.589 -3.040
-0.432 0.906 -6.199
0.937 -4.020 4.732
La Fe Y
1 2 1
direct
0.485 0.485 0.000
0.058 0.058 0.000
0.193 0.693 0.500
0.764 0.264 0.500
```

## Properties
VASP energy: -6.92 eV per atom
Magnetization: 3.1 μB per cell
Formation enthalpy at 0 K: 0.1560 eV/atom

Record 8
VASP calculation (GGA-PBE) on La2Y2Fe after structural relaxation.

Cell and atoms, written as POSCAR:
```
La2Y2Fe
1.0
-5.116 -1.383 4.594
4.700 -0.098 5.205
-0.812 5.806 0.843
Y La Fe
4 4 2
direct
0.831 0.331 0.500
0.169 0.669 0.500
0.331 0.169 0.500
0.669 0.831 0.500
0.168 0.332 0.000
0.832 0.668 0.000
0.332 0.832 0.000
0.668 0.168 0.000
0.500 0.500 0.000
0.000 0.000 0.000
```

## Properties
VASP energy: -5.96 eV per atom
Magnetization: 0.0 μB per cell
Formation enthalpy at 0 K: 0.2859 eV/atom

Record 9
VASP calculation (GGA-PBE) on La2YFe after structural relaxation.

Cell and atoms, written as POSCAR:
```
La2YFe
1.0
-1.757 -5.320 2.297
4.214 -2.619 3.472
-2.460 5.529 -0.213
La Fe Y
2 1 1
direct
0.000 0.000 0.000
0.250 0.750 0.500
0.750 0.250 0.500
0.500 0.500 0.000
```

## Properties
VASP energy: -5.82 eV per atom
Magnetization: 2.4 μB per cell
Energy above the most stable polymorph in this dataset: 0.3002 eV per atom
Formation enthalpy at 0 K: 0.3754 eV/atom

Record 10
VASP calculation (GGA-PBE) on La2YFe2 after structural relaxation.

Cell and atoms, written as POSCAR:
```
La2YFe2
1.0
-2.819 3.980 0.108
-0.606 -0.298 -4.831
-5.838 -1.100 -1.663
Fe La Y
2 2 1
direct
0.750 0.250 0.500
0.250 0.750 0.500
0.336 0.336 0.329
0.664 0.664 0.671
0.000 0.000 0.000
```

## Properties
VASP energy: -6.13 eV per atom
Magnetization: 0.4 μB per cell
Energy above the most stable polymorph in this dataset: 0.3683 eV per atom
Formation enthalpy at 0 K: 0.5207 eV/atom

Record 11
VASP calculation (GGA-PBE) on LaYFe4 after structural relaxation.

Cell and atoms, written as POSCAR:
```
LaYFe4
1.0
5.225 0.000 0.000
2.612 4.525 0.000
2.612 1.508 4.266
La Fe Y
1 4 1
direct
0.250 0.250 0.250
0.625 0.625 0.625
0.625 0.124 0.625
0.124 0.625 0.625
0.625 0.625 0.124
0.000 0.000 0.000
```

## Properties
VASP energy: -7.51 eV per atom
Magnetization: 7.7 μB per cell
Formation enthalpy at 0 K: 0.0254 eV/atom

Record 12
VASP calculation (GGA-PBE) on LaYFe2 after structural relaxation.

Cell and atoms, written as POSCAR:
```
LaYFe2
1.0
-2.842 1.415 -1.370
-0.624 -2.944 -1.746
-4.331 -5.004 3.815
La Fe Y
1 2 1
direct
0.500 0.250 0.250
0.000 0.478 0.502
0.000 0.022 0.998
0.500 0.750 0.750
```

## Properties
VASP energy: -6.82 eV per atom
Magnetization: 3.1 μB per cell
Formation enthalpy at 0 K: 0.2620 eV/atom

Record 13
VASP calculation (GGA-PBE) on La2YFe after structural relaxation.

Cell and atoms, written as POSCAR:
```
La2YFe
1.0
-7.481 1.603 5.846
-6.589 -2.012 6.726
-4.691 0.879 8.362
Y La Fe
1 2 1
direct
0.250 0.250 0.250
0.474 0.474 0.474
0.026 0.026 0.026
0.750 0.750 0.750
```

## Properties
VASP energy: -5.96 eV per atom
Magnetization: 0.0 μB per cell
Energy above the most stable polymorph in this dataset: 0.1635 eV per atom
Formation enthalpy at 0 K: 0.2387 eV/atom

Record 14
VASP calculation (GGA-PBE) on La2YFe after structural relaxation.

Cell and atoms, written as POSCAR:
```
La2YFe
1.0
-2.024 3.616 2.793
1.675 -2.248 4.136
3.902 2.398 -0.277
La Fe Y
2 1 1
direct
0.500 0.500 0.000
0.000 0.000 0.000
0.000 0.500 0.500
0.500 0.000 0.500
```

## Properties
VASP energy: -5.83 eV per atom
Magnetization: 2.5 μB per cell
Energy above the most stable polymorph in this dataset: 0.2923 eV per atom
Formation enthalpy at 0 K: 0.3675 eV/atom

Record 15
VASP calculation (GGA-PBE) on La2YFe after structural relaxation.

Cell and atoms, written as POSCAR:
```
La2YFe
1.0
-3.355 1.001 -0.396
-0.501 -0.303 3.474
2.496 8.816 1.128
Y Fe La
1 1 2
direct
0.000 0.000 0.569
0.500 0.500 0.744
0.000 0.000 0.930
0.500 0.500 0.256
```

## Properties
VASP energy: -6.06 eV per atom
Magnetization: 1.6 μB per cell
Energy above the most stable polymorph in this dataset: 0.0588 eV per atom
Formation enthalpy at 0 K: 0.1340 eV/atom

Record 16
VASP calculation (GGA-PBE) on LaYFe2 after structural relaxation.

Cell and atoms, written as POSCAR:
```
LaYFe2
1.0
3.281 0.000 0.000
0.000 3.281 0.000
0.000 0.000 8.254
La Fe Y
1 2 1
direct
0.000 0.000 0.436
0.000 0.000 0.055
0.500 0.500 0.181
0.500 0.500 0.828
```

## Properties
VASP energy: -6.89 eV per atom
Magnetization: 4.8 μB per cell
Formation enthalpy at 0 K: 0.1919 eV/atom

Record 17
VASP calculation (GGA-PBE) on La2YFe9 after structural relaxation.

Cell and atoms, written as POSCAR:
```
La2YFe9
1.0
4.944 0.000 1.471
2.253 4.400 1.471
0.059 0.036 8.844
Y Fe La
1 9 2
direct
0.000 0.000 0.000
0.500 0.500 0.500
0.667 0.667 0.999
0.577 0.577 0.764
0.423 0.423 0.236
0.423 0.918 0.236
0.333 0.333 0.001
0.082 0.577 0.764
0.577 0.082 0.764
0.918 0.423 0.236
0.141 0.141 0.576
0.859 0.859 0.424
```

## Properties
VASP energy: -7.69 eV per atom
Magnetization: 19.0 μB per cell
Formation enthalpy at 0 K: 0.0213 eV/atom

Record 18
VASP calculation (GGA-PBE) on La2YZnFe after structural relaxation.

Cell and atoms, written as POSCAR:
```
La2YZnFe
1.0
-4.760 1.698 -0.815
-0.023 -2.266 -4.590
-1.983 -4.489 2.227
La Zn Y Fe
2 1 1 1
direct
0.000 0.500 0.000
0.500 0.000 0.000
0.500 0.500 0.500
0.000 0.000 0.500
0.000 0.000 0.000
```

## Properties
VASP energy: -5.17 eV per atom
Magnetization: 0.0 μB per cell
Formation enthalpy at 0 K: 0.0365 eV/atom

Record 19
VASP calculation (GGA-PBE) on LaYZnFe after structural relaxation.

Cell and atoms, written as POSCAR:
```
LaYZnFe
1.0
5.062 0.000 0.000
2.531 4.384 0.000
2.531 1.461 4.133
Y Fe La Zn
1 1 1 1
direct
0.250 0.250 0.250
0.500 0.500 0.500
0.750 0.750 0.750
0.000 0.000 0.000
```

## Properties
VASP energy: -5.30 eV per atom
Magnetization: 1.4 μB per cell
Formation enthalpy at 0 K: -0.0169 eV/atom

Record 20
VASP calculation (GGA-PBE) on LaZnFe2 after structural relaxation.

Cell and atoms, written as POSCAR:
```
LaZnFe2
1.0
4.721 0.000 0.000
2.360 4.088 0.000
2.360 1.363 3.854
Fe Zn La
2 1 1
direct
0.000 0.000 0.000
0.250 0.250 0.250
0.750 0.750 0.750
0.500 0.500 0.500
```

## Properties
VASP energy: -5.45 eV per atom
Magnetization: 5.2 μB per cell
Formation enthalpy at 0 K: 0.3338 eV/atom